Density functional theory data (PBE-GGA) for a geometry-optimized TbHoCo2Si4 structure.

POSCAR file:
```
TbHoCo2Si4
1.0
3.9565 0.0000 0.0000
0.0000 4.0162 0.0000
0.0000 0.0000 16.2633
Tb Ho Co Si
2 2 4 8
Direct
0.0000 0.0000 0.0000
0.0000 0.5000 0.5000
0.5000 0.0000 0.2158
0.5000 0.5000 0.7158
0.0000 0.0000 0.7862
0.0000 0.5000 0.2862
0.5000 0.0000 0.4288
0.5000 0.5000 0.9288
0.0000 0.0000 0.3571
0.0000 0.0000 0.6507
0.0000 0.5000 0.1507
0.0000 0.5000 0.8571
0.5000 0.0000 0.5653
0.5000 0.0000 0.8575
0.5000 0.5000 0.0653
0.5000 0.5000 0.3575
```

Computed properties:
* E_tot: -102.80 eV per cell
* SG: Amm2
* total moment: 0.0 Bohr magnetons per cell

=====

Density functional theory data (PBE-GGA) for a geometry-optimized InAgTe2MoSe structure.

POSCAR file:
```
InAgTe2MoSe
1.0
2.0186 -7.2514 0.0000
2.0186 7.2514 0.0000
0.0000 0.0000 10.3239
In Ag Te Mo Se
2 2 4 2 2
Direct
0.2460 0.7540 0.7500
0.7540 0.2460 0.2500
0.0348 0.9652 0.2500
0.9652 0.0348 0.7500
0.1371 0.8629 0.0306
0.1371 0.8629 0.4694
0.8629 0.1371 0.5306
0.8629 0.1371 0.9694
0.5000 0.5000 0.0000
0.5000 0.5000 0.5000
0.4221 0.5779 0.2500
0.5779 0.4221 0.7500
```

Computed properties:
* E_tot: -52.38 eV per cell
* SG: Cmcm
* total moment: 4.0 Bohr magnetons per cell

=====

Density functional theory data (PBE-GGA) for a geometry-optimized ScPPt structure.

POSCAR file:
```
ScPPt
1.0
6.6321 0.0000 0.0000
0.0000 3.8607 0.0000
0.0000 0.0000 7.4751
Sc P Pt
4 4 4
Direct
0.0309 0.2500 0.1809
0.4691 0.7500 0.6809
0.5309 0.2500 0.3191
0.9691 0.7500 0.8191
0.2448 0.2500 0.8749
0.2552 0.7500 0.3749
0.7448 0.2500 0.6251
0.7552 0.7500 0.1251
0.1530 0.2500 0.5617
0.3470 0.7500 0.0617
0.6530 0.2500 0.9383
0.8470 0.7500 0.4383
```

Computed properties:
* E_tot: -86.15 eV per cell
* SG: Pnma
* total moment: 0.0 Bohr magnetons per cell

=====

> Which value of E_tot does entry 3 give?

-86.15 eV per cell